# 1
Here is a geometry-optimized BaTbBi2 structure from Alexandria. Energies are from PBE.

Lattice parameters (Å, degrees): 4.606 4.606 8.861 74.93 74.93 60.00
Fractional positions:
Ba1 0.497 0.497 0.508
Tb1 0.669 0.669 0.993
Bi1 0.071 0.071 0.786
Bi2 0.262 0.262 0.213

Properties
- Total moment: 0.00 Bohr magnetons per cell
- Offset from the most stable computed form: 32.1 meV per atom
- DFT formation energy: -0.75 eV/atom

=====

# 2
Here is a geometry-optimized BaTbBi2 structure from Alexandria. Energies are from PBE.

Lattice parameters (Å, degrees): 4.715 4.715 8.477 73.83 73.83 60.14
Fractional positions:
Ba1 0.500 0.500 0.500
Tb1 0.000 0.000 0.000
Bi1 0.737 0.737 0.789
Bi2 0.263 0.263 0.211

Properties
- Total moment: 0.00 Bohr magnetons per cell
- Offset from the most stable computed form: 0.0 meV per atom
- DFT formation energy: -0.78 eV/atom